Record 1
Material: KSr2PmI8
Method: DFT, PBE
State: relaxed

CIF file:
```
data_KSr2PmI8
_space_group_name_H-M_alt 'P 1 2/m 1'
_space_group_IT_number 10
_cell_length_a 7.407
_cell_length_b 10.005
_cell_length_c 7.878
_cell_angle_alpha 90.00
_cell_angle_beta 90.13
_cell_angle_gamma 90.00
loop_
_space_group_symop_operation_xyz
'x,y,z'
'-x,-y,-z'
'-x,y,-z'
'x,-y,z'
loop_
_atom_site_label
_atom_site_fract_x
_atom_site_fract_y
_atom_site_fract_z
K1 0.000 0.000 0.000
Sr1 0.500 0.250 0.500
Pm1 0.000 0.500 0.000
I1 0.241 0.279 0.156
I2 0.248 0.500 0.669
I3 0.256 0.000 0.633
```

Density   3.91 g cm⁻³
Magnetization   0.00 Bohr magnetons per cell
Electronic total energy   -3.34 eV per atom

=====

Record 2
Material: KPmTeI
Method: DFT, PBE
State: relaxed

CIF file:
```
data_KPmTeI
_space_group_name_H-M_alt 'R 3 m'
_space_group_IT_number 160
_space_group_name_Hall 'R 3 -2"'
_cell_length_a 4.4722
_cell_length_b 4.4722
_cell_length_c 25.9828
_cell_angle_alpha 90.00
_cell_angle_beta 90.00
_cell_angle_gamma 120.00
loop_
_atom_site_label
_atom_site_fract_x
_atom_site_fract_y
_atom_site_fract_z
K1 0.0000 0.0000 0.0000
Pm1 0.0000 0.0000 0.1812
Te1 0.0000 0.0000 0.5823
I1 0.0000 0.0000 0.7683
```

Density   4.86 g cm⁻³
Magnetization   0.00 Bohr magnetons per cell
Electronic total energy   -3.85 eV per atom

=====

Record 3
Material: K2PmTlI6
Method: DFT, PBE
State: relaxed

CIF file:
```
data_K2PmTlI6
_space_group_name_H-M_alt 'R 3'
_space_group_IT_number 146
_space_group_name_Hall 'R 3'
_cell_length_a 8.7078
_cell_length_b 8.7078
_cell_length_c 22.7337
_cell_angle_alpha 90.00
_cell_angle_beta 90.00
_cell_angle_gamma 120.00
loop_
_atom_site_label
_atom_site_fract_x
_atom_site_fract_y
_atom_site_fract_z
K1 0.0000 0.0000 0.0000
K2 0.0000 0.0000 0.4898
Pm1 0.0000 0.0000 0.6923
Tl1 0.0000 0.0000 0.2002
I1 0.0154 0.3913 0.4338
I2 0.0594 0.6868 0.2743
```

Density   3.97 g cm⁻³
Magnetization   0.00 Bohr magnetons per cell
Electronic total energy   -3.15 eV per atom

=====

Record 4
Material: KPr2I6
Method: DFT, PBE
State: relaxed

CIF file:
```
data_KPr2I6
_space_group_name_H-M_alt 'C 1 2/m 1'
_space_group_IT_number 12
_cell_length_a 20.487
_cell_length_b 4.384
_cell_length_c 10.301
_cell_angle_alpha 90.00
_cell_angle_beta 101.81
_cell_angle_gamma 90.00
loop_
_space_group_symop_operation_xyz
'x,y,z'
'-x,-y,-z'
'-x,y,-z'
'x,-y,z'
'x+1/2,y+1/2,z'
'-x+1/2,-y+1/2,-z'
'-x+1/2,y+1/2,-z'
'x+1/2,-y+1/2,z'
loop_
_atom_site_label
_atom_site_fract_x
_atom_site_fract_y
_atom_site_fract_z
K1 0.000 0.000 0.000
Pr1 0.165 0.500 0.339
I1 0.012 0.500 0.270
I2 0.171 0.000 0.574
I3 0.180 0.000 0.122
```

Density   3.97 g cm⁻³
Magnetization   0.00 Bohr magnetons per cell
Electronic total energy   -3.58 eV per atom

=====

Record 5
Material: K2PrI6
Method: DFT, PBE
State: relaxed

CIF file:
```
data_K2PrI6
_space_group_name_H-M_alt 'A m m 2'
_space_group_IT_number 38
_cell_length_a 4.937
_cell_length_b 16.259
_cell_length_c 9.176
_cell_angle_alpha 90.00
_cell_angle_beta 90.00
_cell_angle_gamma 90.00
loop_
_space_group_symop_operation_xyz
'x,y,z'
'-x,-y,z'
'-x,y,z'
'x,-y,z'
'x,y+1/2,z+1/2'
'-x,-y+1/2,z+1/2'
'-x,y+1/2,z+1/2'
'x,-y+1/2,z+1/2'
loop_
_atom_site_label
_atom_site_fract_x
_atom_site_fract_y
_atom_site_fract_z
K1 0.000 0.170 0.000
Pr1 0.500 0.000 0.509
I1 0.000 0.000 0.753
I2 0.000 0.119 0.383
I3 0.500 0.000 0.141
I4 0.500 0.185 0.685
```

Density   4.42 g cm⁻³
Magnetization   0.92 Bohr magnetons per cell
Electronic total energy   -3.00 eV per atom

=====

Record 6
Material: K3PrI6
Method: DFT, PBE
State: relaxed

CIF file:
```
data_K3PrI6
_space_group_name_H-M_alt 'F m -3 m'
_space_group_IT_number 225
_space_group_name_Hall '-F 4 2 3'
_cell_length_a 12.937
_cell_length_b 12.937
_cell_length_c 12.937
_cell_angle_alpha 90.00
_cell_angle_beta 90.00
_cell_angle_gamma 90.00
loop_
_atom_site_label
_atom_site_fract_x
_atom_site_fract_y
_atom_site_fract_z
K1 0.000 0.000 0.000
K2 0.250 0.250 0.250
Pr1 0.000 0.000 0.500
I1 0.000 0.000 0.259
```

Density   3.13 g cm⁻³
Magnetization   0.00 Bohr magnetons per cell
Electronic total energy   -3.10 eV per atom
ΔE to the lowest computed polymorph   96 kJ/mol of formula units

=====

Record 7
Material: KPrI3
Method: DFT, PBE
State: relaxed

CIF file:
```
data_KPrI3
_space_group_name_H-M_alt 'P m -3 m'
_space_group_IT_number 221
_space_group_name_Hall '-P 4 2 3'
_cell_length_a 6.272
_cell_length_b 6.272
_cell_length_c 6.272
_cell_angle_alpha 90.00
_cell_angle_beta 90.00
_cell_angle_gamma 90.00
loop_
_atom_site_label
_atom_site_fract_x
_atom_site_fract_y
_atom_site_fract_z
K1 0.000 0.000 0.000
Pr1 0.500 0.500 0.500
I1 0.000 0.500 0.500
```

Density   3.77 g cm⁻³
Magnetization   0.00 Bohr magnetons per cell
Electronic total energy   -3.31 eV per atom

=====

Record 8
Material: KPrI2
Method: DFT, PBE
State: relaxed

CIF file:
```
data_KPrI2
_space_group_name_H-M_alt 'R -3 m'
_space_group_IT_number 166
_space_group_name_Hall '-R 3 2"'
_cell_length_a 4.2103
_cell_length_b 4.2103
_cell_length_c 34.7110
_cell_angle_alpha 90.00
_cell_angle_beta 90.00
_cell_angle_gamma 120.00
loop_
_atom_site_label
_atom_site_fract_x
_atom_site_fract_y
_atom_site_fract_z
K1 0.0000 0.0000 0.0000
Pr1 0.0000 0.0000 0.5000
I1 0.0000 0.0000 0.1042
```

Density   4.06 g cm⁻³
Magnetization   0.00 Bohr magnetons per cell
Electronic total energy   -3.23 eV per atom
ΔE to the lowest computed polymorph   21 kJ/mol of formula units

=====

Record 9
Material: K3PrI6
Method: DFT, PBE
State: relaxed

CIF file:
```
data_K3PrI6
_space_group_name_H-M_alt 'P 1 21/c 1'
_space_group_IT_number 14
_cell_length_a 8.491
_cell_length_b 9.175
_cell_length_c 14.753
_cell_angle_alpha 90.00
_cell_angle_beta 123.52
_cell_angle_gamma 90.00
loop_
_space_group_symop_operation_xyz
'x,y,z'
'-x,-y,-z'
'-x,y+1/2,-z+1/2'
'x,-y+1/2,z+1/2'
loop_
_atom_site_label
_atom_site_fract_x
_atom_site_fract_y
_atom_site_fract_z
K1 0.000 0.000 0.000
K2 0.204 0.090 0.741
Pr1 0.500 0.000 0.500
I1 0.137 0.178 0.437
I2 0.256 0.711 0.420
I3 0.409 0.058 0.265
```

Density   3.53 g cm⁻³
Magnetization   0.00 Bohr magnetons per cell
Electronic total energy   -3.20 eV per atom
ΔE to the lowest computed polymorph   3 kJ/mol of formula units

=====

Record 10
Material: K5Pr3I12
Method: DFT, PBE
State: relaxed

CIF file:
```
data_K5Pr3I12
_space_group_name_H-M_alt 'I a -3 d'
_space_group_IT_number 230
_space_group_name_Hall '-I 4bd 2c 3'
_cell_length_a 19.842
_cell_length_b 19.842
_cell_length_c 19.842
_cell_angle_alpha 90.00
_cell_angle_beta 90.00
_cell_angle_gamma 90.00
loop_
_atom_site_label
_atom_site_fract_x
_atom_site_fract_y
_atom_site_fract_z
K1 0.000 0.000 0.000
K2 0.000 0.250 0.375
Pr1 0.000 0.250 0.125
I1 0.023 0.088 0.649
```

Density   3.64 g cm⁻³
Magnetization   16.20 Bohr magnetons per cell
Electronic total energy   -3.09 eV per atom

=====

Record 11
Material: K3PrI6
Method: DFT, PBE
State: relaxed

CIF file:
```
data_K3PrI6
_space_group_name_H-M_alt 'R -3'
_space_group_IT_number 148
_space_group_name_Hall '-R 3'
_cell_length_a 14.5293
_cell_length_b 14.5293
_cell_length_c 17.1120
_cell_angle_alpha 90.00
_cell_angle_beta 90.00
_cell_angle_gamma 120.00
loop_
_atom_site_label
_atom_site_fract_x
_atom_site_fract_y
_atom_site_fract_z
K1 0.0539 0.2736 0.1967
Pr1 0.0000 0.0000 0.0000
Pr2 0.0000 0.0000 0.5000
I1 0.0228 0.1916 0.3973
I2 0.0354 0.1913 0.8925
```

Density   3.25 g cm⁻³
Magnetization   0.00 Bohr magnetons per cell
Electronic total energy   -3.20 eV per atom
ΔE to the lowest computed polymorph   0 kJ/mol of formula units

=====

Record 12
Material: KPrI2
Method: DFT, PBE
State: relaxed

CIF file:
```
data_KPrI2
_space_group_name_H-M_alt 'P 4/m m m'
_space_group_IT_number 123
_space_group_name_Hall '-P 4 2'
_cell_length_a 4.018
_cell_length_b 4.018
_cell_length_c 8.436
_cell_angle_alpha 90.00
_cell_angle_beta 90.00
_cell_angle_gamma 90.00
loop_
_atom_site_label
_atom_site_fract_x
_atom_site_fract_y
_atom_site_fract_z
K1 0.000 0.000 0.000
Pr1 0.000 0.000 0.500
I1 0.500 0.500 0.279
```

Density   5.29 g cm⁻³
Magnetization   0.00 Bohr magnetons per cell
Electronic total energy   -3.28 eV per atom
ΔE to the lowest computed polymorph   0 kJ/mol of formula units